Record 1
# CoMoAu2, single point on PBEsol structure, DFT meta-GGA SCAN
data_CoMoAu2
_chemical_formula_sum 'Co1 Mo1 Au2'
_space_group_name_H-M_alt 'P 4/m m m'
_space_group_IT_number 123
_space_group_name_Hall '-P 4 2'
_cell_length_a 4.754
_cell_length_b 4.754
_cell_length_c 2.708
_cell_angle_alpha 90.00
_cell_angle_beta 90.00
_cell_angle_gamma 90.00
loop_
_atom_site_label
_atom_site_type_symbol
_atom_site_fract_x
_atom_site_fract_y
_atom_site_fract_z
Co1 Co 0.000 0.000 0.000
Mo1 Mo 0.500 0.500 0.000
Au1 Au 0.000 0.500 0.500
# Formation energy from the elements: 0.360 eV per atom
# E_tot: -47.2657 eV per atom

Record 2
# CoMoAu2, single point on PBEsol structure, DFT meta-GGA SCAN
data_CoMoAu2
_chemical_formula_sum 'Co2 Mo2 Au4'
_space_group_name_H-M_alt 'I m m 2'
_space_group_IT_number 44
_space_group_name_Hall 'I 2 -2'
_cell_length_a 2.802
_cell_length_b 4.613
_cell_length_c 9.247
_cell_angle_alpha 90.00
_cell_angle_beta 90.00
_cell_angle_gamma 90.00
loop_
_atom_site_label
_atom_site_type_symbol
_atom_site_fract_x
_atom_site_fract_y
_atom_site_fract_z
Co1 Co 0.000 0.000 0.000
Mo1 Mo 0.000 0.500 0.702
Au1 Au 0.000 0.000 0.480
Au2 Au 0.000 0.500 0.260
# Formation energy from the elements: 0.374 eV per atom
# E_tot: -47.2514 eV per atom

For reference, energy above the most stable polymorph in this dataset by record: 0, 14 meV per atom.